1.
# PBE P2PdCO, relaxed
data_P2PdCO
_chemical_formula_sum 'P2 Pd1 C1 O1'
_space_group_name_H-M_alt 'P 1'
_space_group_IT_number 1
_cell_length_a 4.7102
_cell_length_b 4.7102
_cell_length_c 3.7547
_cell_angle_alpha 90.00
_cell_angle_beta 90.00
_cell_angle_gamma 90.00
loop_
_space_group_symop_operation_xyz
'x,y,z'
loop_
_atom_site_label
_atom_site_type_symbol
_atom_site_fract_x
_atom_site_fract_y
_atom_site_fract_z
_atom_site_occupancy
P1 P 0.0000 0.5000 0.0000 1
P2 P 0.5000 0.0000 0.0000 1
Pd1 Pd 0.0000 0.0000 0.0000 1
C1 C 0.5000 0.5000 0.5000 1
O1 O 0.0000 0.0000 0.5000 1
# **Raw total energy**: -4.220 eV per atom
# **DOS(E_F)**: 7.4 states/eV per cell
# **Crystal system**: tetragonal
# **ρ**: 3915 kg/m3
# **Symmetry**: P4/mmm (123)
# **Raw formation energy**: 1.82 eV/atom

2.
# PBE Li2BeCd2, relaxed
data_Li2BeCd2
_chemical_formula_sum 'Li4 Be2 Cd4'
_space_group_name_H-M_alt 'P 1'
_space_group_IT_number 1
_cell_length_a 6.6595
_cell_length_b 6.6595
_cell_length_c 4.0946
_cell_angle_alpha 90.00
_cell_angle_beta 90.00
_cell_angle_gamma 90.00
loop_
_space_group_symop_operation_xyz
'x,y,z'
loop_
_atom_site_label
_atom_site_type_symbol
_atom_site_fract_x
_atom_site_fract_y
_atom_site_fract_z
_atom_site_occupancy
Li1 Li 0.1586 0.3414 0.0000 1
Li2 Li 0.3414 0.8414 0.0000 1
Li3 Li 0.6586 0.1586 0.0000 1
Li4 Li 0.8414 0.6586 0.0000 1
Be1 Be 0.0000 0.0000 0.5000 1
Be2 Be 0.5000 0.5000 0.5000 1
Cd1 Cd 0.1563 0.6563 0.5000 1
Cd2 Cd 0.3437 0.1563 0.5000 1
Cd3 Cd 0.6563 0.8437 0.5000 1
Cd4 Cd 0.8437 0.3437 0.5000 1
# **Raw total energy**: -1.757 eV per atom
# **DOS(E_F)**: 3.1 states/eV per cell
# **Crystal system**: tetragonal
# **ρ**: 4530 kg/m3
# **Calculated formation energy**: 0.12 eV per atom
# **Symmetry**: P4/mbm (127)

3.
# PBE Er12CdAu6, relaxed
data_Er12CdAu6
_chemical_formula_sum 'Er12 Cd1 Au6'
_space_group_name_H-M_alt 'P 1'
_space_group_IT_number 1
_cell_length_a 8.4841
_cell_length_b 8.4841
_cell_length_c 8.4841
_cell_angle_alpha 101.40
_cell_angle_beta 101.40
_cell_angle_gamma 101.40
loop_
_space_group_symop_operation_xyz
'x,y,z'
loop_
_atom_site_label
_atom_site_type_symbol
_atom_site_fract_x
_atom_site_fract_y
_atom_site_fract_z
_atom_site_occupancy
Er1 Er 0.0628 0.9221 0.3284 1
Er2 Er 0.0779 0.6716 0.9372 1
Er3 Er 0.1768 0.4269 0.5720 1
Er4 Er 0.3284 0.0628 0.9221 1
Er5 Er 0.4269 0.5720 0.1768 1
Er6 Er 0.4280 0.8232 0.5731 1
Er7 Er 0.5720 0.1768 0.4269 1
Er8 Er 0.5731 0.4280 0.8232 1
Er9 Er 0.6716 0.9372 0.0779 1
Er10 Er 0.8232 0.5731 0.4280 1
Er11 Er 0.9221 0.3284 0.0628 1
Er12 Er 0.9372 0.0779 0.6716 1
Cd1 Cd 0.0000 0.0000 0.0000 1
Au1 Au 0.1390 0.6090 0.3050 1
Au2 Au 0.3050 0.1390 0.6090 1
Au3 Au 0.3910 0.6950 0.8610 1
Au4 Au 0.6090 0.3050 0.1390 1
Au5 Au 0.6950 0.8610 0.3910 1
Au6 Au 0.8610 0.3910 0.6950 1
# **Raw total energy**: -4.343 eV per atom
# **DOS(E_F)**: 20.8 states/eV per cell
# **Crystal system**: trigonal
# **ρ**: 9638 kg/m3
# **Calculated formation energy**: -0.38 eV per atom
# **Symmetry**: R-3 (148)

Q: What is the raw total energy in the first record?
A: -4.220 eV per atom

Q: Which of these has the lowest ρ?
A: P2PdCO

Q: Which of these has the highest ρ?
A: Er12CdAu6

Q: Among the records above, which one has the highest DOS(E_F)?
A: Er12CdAu6